Compound: K2TlW
Source: Alexandria via LeMat-Bulk
Functional: meta-GGA SCAN
Structure: single point on PBEsol structure

a b c (Å): 3.0601 3.0601 37.0681
angles (deg): 90.00 90.00 120.00
Space group R-3m (No. 166, hexagonal axes)
Unique sites:
1 K 0.0000 0.0000 0.2465 (multiplicity 6)
2 Tl 0.0000 0.0000 0.0000 (multiplicity 3)
3 W 0.0000 0.0000 0.5000 (multiplicity 3)

Properties
Total magnetic moment, μB/f.u.: 0.00
E_form, eV/f.u.: 4.6
Density of states at the Fermi level, states/eV/f.u.: 3.22
Relative energy among the computed polymorphs, eV per formula unit: 0.00